Compound: BPdSe2N
Source: Alexandria
Functional: GGA-PBE
Structure: relaxed

Results
Polymorph energy (0 for the lowest one): 30.613 kcal/mol of atoms
Total DFT energy (no corrections): -0.142 hartree per atom
Formation energy without anion corrections: 1.58 eV per atom
Fermi-level density of states: 3.04 states/eV/cell

Structure (CIF):
```
data_BPdSe2N
_chemical_formula_sum 'B1 Pd1 Se2 N1'
_space_group_name_H-M_alt 'P 4/m m m'
_space_group_IT_number 123
_space_group_name_Hall '-P 4 2'
_cell_length_a 5.160
_cell_length_b 5.160
_cell_length_c 3.660
_cell_angle_alpha 90.00
_cell_angle_beta 90.00
_cell_angle_gamma 90.00
loop_
_atom_site_label
_atom_site_fract_x
_atom_site_fract_y
_atom_site_fract_z
_atom_site_occupancy
B1 0.000 0.000 0.000 1
Pd1 0.500 0.500 0.500 1
Se1 0.000 0.500 0.500 1
N1 0.500 0.500 0.000 1
```